No. 1
Here is a geometry-optimized HoEr2Ga3CoGe2 structure from OQMD via LeMat-Bulk. Energies are from PBE. Values from VASP.

Cell and atoms, written as Quantum ESPRESSO input:
```
&SYSTEM
  ibrav = 0, nat = 9, ntyp = 5
/
ATOMIC_SPECIES
Ho 164.93 Ho.upf
Er 167.26 Er.upf
Ga 69.72 Ga.upf
Co 58.93 Co.upf
Ge 72.64 Ge.upf
CELL_PARAMETERS angstrom
4.107 0.000 0.000
0.000 5.994 3.459
0.000 -5.994 3.459
ATOMIC_POSITIONS crystal
Ho 0.000 0.000 0.000
Er 0.000 0.202 0.601
Er 0.000 0.601 0.202
Ga 0.500 0.372 0.372
Ga 0.500 0.601 0.829
Ga 0.500 0.829 0.601
Co 0.000 0.600 0.600
Ge 0.500 0.268 0.934
Ge 0.500 0.934 0.268
```

## Properties
V, Å³/cell: 170.3
Symmetry: No. 38
VASP energy, eV per atom: -5.047

No. 2
Here is a geometry-optimized BaNdPd2 structure from OQMD via LeMat-Bulk. Energies are from PBE. Values from VASP.

Cell and atoms, written as Quantum ESPRESSO input:
```
&SYSTEM
  ibrav = 0, nat = 8, ntyp = 3
/
ATOMIC_SPECIES
Ba 137.33 Ba.upf
Nd 144.24 Nd.upf
Pd 106.42 Pd.upf
CELL_PARAMETERS angstrom
4.665 0.000 0.000
0.000 4.028 0.000
0.000 0.000 11.565
ATOMIC_POSITIONS crystal
Ba 0.000 0.000 0.000
Ba 0.000 0.500 0.500
Nd 0.500 0.000 0.730
Nd 0.500 0.500 0.230
Pd 0.000 0.000 0.272
Pd 0.000 0.500 0.772
Pd 0.500 0.000 0.428
Pd 0.500 0.500 0.928
```

## Properties
V, Å³/cell: 217.4
Symmetry: No. 38
VASP energy, eV per atom: -4.848

No. 3
Here is a geometry-optimized LiFeGeAs structure from OQMD via LeMat-Bulk. Energies are from PBE. Values from VASP.

Cell and atoms, written as Quantum ESPRESSO input:
```
&SYSTEM
  ibrav = 0, nat = 16, ntyp = 4
/
ATOMIC_SPECIES
Li 6.94 Li.upf
Fe 55.84 Fe.upf
Ge 72.64 Ge.upf
As 74.92 As.upf
CELL_PARAMETERS angstrom
5.971 0.000 0.000
0.000 5.971 0.000
0.000 0.000 5.971
ATOMIC_POSITIONS crystal
Li 0.000 0.000 0.000
Li 0.000 0.500 0.500
Li 0.500 0.000 0.500
Li 0.500 0.500 0.000
Fe 0.000 0.000 0.500
Fe 0.000 0.500 0.000
Fe 0.500 0.000 0.000
Fe 0.500 0.500 0.500
Ge 0.250 0.250 0.750
Ge 0.250 0.750 0.250
Ge 0.750 0.250 0.250
Ge 0.750 0.750 0.750
As 0.250 0.250 0.250
As 0.250 0.750 0.750
As 0.750 0.250 0.750
As 0.750 0.750 0.250
```

## Properties
V, Å³/cell: 212.9
Symmetry: No. 216
VASP energy, eV per atom: -4.945

No. 4
Here is a geometry-optimized TcF structure from OQMD via LeMat-Bulk. Energies are from PBE. Values from VASP.

Cell and atoms, written as Quantum ESPRESSO input:
```
&SYSTEM
  ibrav = 0, nat = 8, ntyp = 2
/
ATOMIC_SPECIES
Tc 98.00 Tc.upf
F 19.00 F.upf
CELL_PARAMETERS angstrom
5.219 0.000 0.000
0.000 5.219 0.000
0.000 0.000 5.219
ATOMIC_POSITIONS crystal
Tc 0.000 0.000 0.000
Tc 0.000 0.500 0.500
Tc 0.500 0.000 0.500
Tc 0.500 0.500 0.000
F 0.250 0.250 0.250
F 0.250 0.750 0.750
F 0.750 0.250 0.750
F 0.750 0.750 0.250
```

## Properties
V, Å³/cell: 142.2
Symmetry: No. 216
VASP energy, eV per atom: -5.550

No. 5
Here is a geometry-optimized PrTcIr structure from OQMD via LeMat-Bulk. Energies are from PBE. Values from VASP.

Cell and atoms, written as Quantum ESPRESSO input:
```
&SYSTEM
  ibrav = 0, nat = 12, ntyp = 3
/
ATOMIC_SPECIES
Pr 140.91 Pr.upf
Tc 98.00 Tc.upf
Ir 192.22 Ir.upf
CELL_PARAMETERS angstrom
6.535 0.000 0.000
0.000 6.535 0.000
0.000 0.000 6.535
ATOMIC_POSITIONS crystal
Pr 0.000 0.000 0.000
Pr 0.000 0.500 0.500
Pr 0.500 0.000 0.500
Pr 0.500 0.500 0.000
Tc 0.250 0.250 0.250
Tc 0.250 0.750 0.750
Tc 0.750 0.250 0.750
Tc 0.750 0.750 0.250
Ir 0.250 0.250 0.750
Ir 0.250 0.750 0.250
Ir 0.750 0.250 0.250
Ir 0.750 0.750 0.750
```

## Properties
V, Å³/cell: 279.1
Energy of formation, eV per atom: 1.159
Symmetry: No. 216

No. 6
Here is a geometry-optimized HfScIr2 structure from OQMD via LeMat-Bulk. Energies are from PBE. Values from VASP.

Cell and atoms, written as Quantum ESPRESSO input:
```
&SYSTEM
  ibrav = 0, nat = 8, ntyp = 3
/
ATOMIC_SPECIES
Hf 178.49 Hf.upf
Sc 44.96 Sc.upf
Ir 192.22 Ir.upf
CELL_PARAMETERS angstrom
6.094 0.000 0.000
0.000 6.452 0.000
0.000 0.000 3.450
ATOMIC_POSITIONS crystal
Hf 0.000 0.000 0.000
Hf 0.500 0.500 0.000
Sc 0.000 0.500 0.000
Sc 0.500 0.000 0.000
Ir 0.250 0.250 0.500
Ir 0.250 0.750 0.500
Ir 0.750 0.250 0.500
Ir 0.750 0.750 0.500
```

## Properties
V, Å³/cell: 135.7
Energy of formation, eV per atom: -0.972
Symmetry: No. 65

No. 7
Here is a geometry-optimized CsHgIr structure from OQMD via LeMat-Bulk. Energies are from PBE. Values from VASP.

Cell and atoms, written as Quantum ESPRESSO input:
```
&SYSTEM
  ibrav = 0, nat = 12, ntyp = 3
/
ATOMIC_SPECIES
Cs 132.91 Cs.upf
Hg 200.59 Hg.upf
Ir 192.22 Ir.upf
CELL_PARAMETERS angstrom
7.093 0.000 0.000
0.000 7.093 0.000
0.000 0.000 7.093
ATOMIC_POSITIONS crystal
Cs 0.000 0.000 0.000
Cs 0.000 0.500 0.500
Cs 0.500 0.000 0.500
Cs 0.500 0.500 0.000
Hg 0.000 0.000 0.500
Hg 0.000 0.500 0.000
Hg 0.500 0.000 0.000
Hg 0.500 0.500 0.500
Ir 0.250 0.250 0.250
Ir 0.250 0.750 0.750
Ir 0.750 0.250 0.750
Ir 0.750 0.750 0.250
```

## Properties
V, Å³/cell: 356.8
Symmetry: No. 216
VASP energy, eV per atom: -2.364

No. 8
Here is a geometry-optimized NaLaSbIr structure from OQMD via LeMat-Bulk. Energies are from PBE. Values from VASP.

Cell and atoms, written as Quantum ESPRESSO input:
```
&SYSTEM
  ibrav = 0, nat = 16, ntyp = 4
/
ATOMIC_SPECIES
Na 22.99 Na.upf
La 138.91 La.upf
Sb 121.76 Sb.upf
Ir 192.22 Ir.upf
CELL_PARAMETERS angstrom
7.012 0.000 0.000
0.000 7.012 0.000
0.000 0.000 7.012
ATOMIC_POSITIONS crystal
Na 0.000 0.000 0.000
Na 0.000 0.500 0.500
Na 0.500 0.000 0.500
Na 0.500 0.500 0.000
La 0.250 0.250 0.250
La 0.250 0.750 0.750
La 0.750 0.250 0.750
La 0.750 0.750 0.250
Sb 0.250 0.250 0.750
Sb 0.250 0.750 0.250
Sb 0.750 0.250 0.250
Sb 0.750 0.750 0.750
Ir 0.000 0.000 0.500
Ir 0.000 0.500 0.000
Ir 0.500 0.000 0.000
Ir 0.500 0.500 0.500
```

## Properties
V, Å³/cell: 344.7
Symmetry: No. 216
VASP energy, eV per atom: -5.292

No. 9
Here is a geometry-optimized CsTbSnSe3 structure from OQMD via LeMat-Bulk. Energies are from PBE. Values from VASP.

Cell and atoms, written as Quantum ESPRESSO input:
```
&SYSTEM
  ibrav = 0, nat = 12, ntyp = 4
/
ATOMIC_SPECIES
Cs 132.91 Cs.upf
Tb 158.93 Tb.upf
Sn 118.71 Sn.upf
Se 78.96 Se.upf
CELL_PARAMETERS angstrom
2.077 -8.685 0.000
2.077 8.685 0.000
0.000 0.000 12.051
ATOMIC_POSITIONS crystal
Cs 0.200 0.800 0.750
Cs 0.800 0.200 0.250
Tb 0.500 0.500 0.000
Tb 0.500 0.500 0.500
Sn 0.104 0.896 0.250
Sn 0.896 0.104 0.750
Se 0.113 0.887 0.009
Se 0.113 0.887 0.491
Se 0.497 0.503 0.250
Se 0.503 0.497 0.750
Se 0.887 0.113 0.509
Se 0.887 0.113 0.991
```

## Properties
V, Å³/cell: 434.8
Symmetry: No. 63
VASP energy, eV per atom: -4.530

No. 10
Here is a geometry-optimized KTmPdSe3 structure from OQMD via LeMat-Bulk. Energies are from PBE. Values from VASP.

Cell and atoms, written as Quantum ESPRESSO input:
```
&SYSTEM
  ibrav = 0, nat = 12, ntyp = 4
/
ATOMIC_SPECIES
K 39.10 K.upf
Tm 168.93 Tm.upf
Pd 106.42 Pd.upf
Se 78.96 Se.upf
CELL_PARAMETERS angstrom
8.873 0.000 0.000
0.000 4.126 0.000
-3.186 0.000 9.205
ATOMIC_POSITIONS crystal
K 0.207 0.250 0.235
K 0.793 0.750 0.765
Tm 0.324 0.750 0.857
Tm 0.676 0.250 0.143
Pd 0.090 0.250 0.587
Pd 0.910 0.750 0.413
Se 0.106 0.250 0.859
Se 0.219 0.750 0.539
Se 0.460 0.750 0.159
Se 0.540 0.250 0.841
Se 0.781 0.250 0.461
Se 0.894 0.750 0.141
```

## Properties
V, Å³/cell: 337.0
Symmetry: No. 11
VASP energy, eV per atom: -4.690

No. 11
Here is a geometry-optimized YCdGe2 structure from OQMD via LeMat-Bulk. Energies are from PBE. Values from VASP.

Cell and atoms, written as Quantum ESPRESSO input:
```
&SYSTEM
  ibrav = 0, nat = 16, ntyp = 3
/
ATOMIC_SPECIES
Y 88.91 Y.upf
Cd 112.41 Cd.upf
Ge 72.64 Ge.upf
CELL_PARAMETERS angstrom
7.104 0.000 0.000
0.000 7.104 0.000
0.000 0.000 7.104
ATOMIC_POSITIONS crystal
Y 0.000 0.000 0.000
Y 0.000 0.500 0.500
Y 0.500 0.000 0.500
Y 0.500 0.500 0.000
Cd 0.250 0.250 0.750
Cd 0.250 0.750 0.250
Cd 0.750 0.250 0.250
Cd 0.750 0.750 0.750
Ge 0.000 0.000 0.500
Ge 0.000 0.500 0.000
Ge 0.250 0.250 0.250
Ge 0.250 0.750 0.750
Ge 0.500 0.000 0.000
Ge 0.500 0.500 0.500
Ge 0.750 0.250 0.750
Ge 0.750 0.750 0.250
```

## Properties
V, Å³/cell: 358.6
Symmetry: No. 216
VASP energy, eV per atom: -4.244

No. 12
Here is a geometry-optimized SmZnInTe3 structure from OQMD via LeMat-Bulk. Energies are from PBE. Values from VASP.

Cell and atoms, written as Quantum ESPRESSO input:
```
&SYSTEM
  ibrav = 0, nat = 12, ntyp = 4
/
ATOMIC_SPECIES
Sm 150.36 Sm.upf
Zn 65.41 Zn.upf
In 114.82 In.upf
Te 127.60 Te.upf
CELL_PARAMETERS angstrom
9.931 -2.194 0.000
9.931 2.194 0.000
-2.086 0.000 8.981
ATOMIC_POSITIONS crystal
Sm 0.170 0.170 0.081
Sm 0.830 0.830 0.919
Zn 0.463 0.463 0.777
Zn 0.537 0.537 0.223
In 0.129 0.129 0.571
In 0.871 0.871 0.429
Te 0.000 0.000 0.000
Te 0.324 0.324 0.677
Te 0.330 0.330 0.155
Te 0.500 0.500 0.500
Te 0.670 0.670 0.845
Te 0.676 0.676 0.323
```

## Properties
V, Å³/cell: 391.4
Symmetry: No. 12
VASP energy, eV per atom: -3.684

No. 13
Here is a geometry-optimized NaPmTc structure from OQMD via LeMat-Bulk. Energies are from PBE. Values from VASP.

Cell and atoms, written as Quantum ESPRESSO input:
```
&SYSTEM
  ibrav = 0, nat = 12, ntyp = 3
/
ATOMIC_SPECIES
Na 22.99 Na.upf
Pm 145.00 Pm.upf
Tc 98.00 Tc.upf
CELL_PARAMETERS angstrom
6.816 0.000 0.000
0.000 6.816 0.000
0.000 0.000 6.816
ATOMIC_POSITIONS crystal
Na 0.000 0.000 0.000
Na 0.000 0.500 0.500
Na 0.500 0.000 0.500
Na 0.500 0.500 0.000
Pm 0.250 0.250 0.250
Pm 0.250 0.750 0.750
Pm 0.750 0.250 0.750
Pm 0.750 0.750 0.250
Tc 0.000 0.000 0.500
Tc 0.000 0.500 0.000
Tc 0.500 0.000 0.000
Tc 0.500 0.500 0.500
```

## Properties
V, Å³/cell: 316.7
Symmetry: No. 216
VASP energy, eV per atom: -4.148

No. 14
Here is a geometry-optimized Nd3In3NiPd2 structure from OQMD via LeMat-Bulk. Energies are from PBE. Values from VASP.

Cell and atoms, written as Quantum ESPRESSO input:
```
&SYSTEM
  ibrav = 0, nat = 9, ntyp = 4
/
ATOMIC_SPECIES
Nd 144.24 Nd.upf
In 114.82 In.upf
Ni 58.69 Ni.upf
Pd 106.42 Pd.upf
CELL_PARAMETERS angstrom
7.710 0.000 0.000
-3.855 6.677 0.000
0.000 0.000 4.013
ATOMIC_POSITIONS crystal
Nd 0.000 0.591 0.000
Nd 0.409 0.409 0.000
Nd 0.591 0.000 0.000
In 0.000 0.243 0.500
In 0.243 0.000 0.500
In 0.757 0.757 0.500
Ni 0.000 0.000 0.000
Pd 0.333 0.667 0.500
Pd 0.667 0.333 0.500
```

## Properties
V, Å³/cell: 206.6
Symmetry: No. 189
VASP energy, eV per atom: -4.961

No. 15
Here is a geometry-optimized GeB2Mo structure from OQMD via LeMat-Bulk. Energies are from PBE. Values from VASP.

Cell and atoms, written as Quantum ESPRESSO input:
```
&SYSTEM
  ibrav = 0, nat = 16, ntyp = 3
/
ATOMIC_SPECIES
Ge 72.64 Ge.upf
B 10.81 B.upf
Mo 95.94 Mo.upf
CELL_PARAMETERS angstrom
5.759 0.000 0.000
0.000 5.759 0.000
0.000 0.000 5.759
ATOMIC_POSITIONS crystal
Ge 0.000 0.000 0.000
Ge 0.000 0.500 0.500
Ge 0.500 0.000 0.500
Ge 0.500 0.500 0.000
B 0.000 0.000 0.500
B 0.000 0.500 0.000
B 0.250 0.250 0.750
B 0.250 0.750 0.250
B 0.500 0.000 0.000
B 0.500 0.500 0.500
B 0.750 0.250 0.250
B 0.750 0.750 0.750
Mo 0.250 0.250 0.250
Mo 0.250 0.750 0.750
Mo 0.750 0.250 0.750
Mo 0.750 0.750 0.250
```

## Properties
V, Å³/cell: 191.0
Symmetry: No. 216
VASP energy, eV per atom: -5.703

No. 16
Here is a geometry-optimized ScAlNiPd structure from OQMD via LeMat-Bulk. Energies are from PBE. Values from VASP.

Cell and atoms, written as Quantum ESPRESSO input:
```
&SYSTEM
  ibrav = 0, nat = 16, ntyp = 4
/
ATOMIC_SPECIES
Sc 44.96 Sc.upf
Al 26.98 Al.upf
Ni 58.69 Ni.upf
Pd 106.42 Pd.upf
CELL_PARAMETERS angstrom
6.281 0.000 0.000
0.000 6.281 0.000
0.000 0.000 6.281
ATOMIC_POSITIONS crystal
Sc 0.000 0.000 0.000
Sc 0.000 0.500 0.500
Sc 0.500 0.000 0.500
Sc 0.500 0.500 0.000
Al 0.250 0.250 0.250
Al 0.250 0.750 0.750
Al 0.750 0.250 0.750
Al 0.750 0.750 0.250
Ni 0.000 0.000 0.500
Ni 0.000 0.500 0.000
Ni 0.500 0.000 0.000
Ni 0.500 0.500 0.500
Pd 0.250 0.250 0.750
Pd 0.250 0.750 0.250
Pd 0.750 0.250 0.250
Pd 0.750 0.750 0.750
```

## Properties
V, Å³/cell: 247.8
Symmetry: No. 216
VASP energy, eV per atom: -5.656

No. 17
Here is a geometry-optimized BaYTh structure from OQMD via LeMat-Bulk. Energies are from PBE. Values from VASP.

Cell and atoms, written as Quantum ESPRESSO input:
```
&SYSTEM
  ibrav = 0, nat = 12, ntyp = 3
/
ATOMIC_SPECIES
Ba 137.33 Ba.upf
Y 88.91 Y.upf
Th 232.04 Th.upf
CELL_PARAMETERS angstrom
8.118 0.000 0.000
0.000 8.118 0.000
0.000 0.000 8.118
ATOMIC_POSITIONS crystal
Ba 0.000 0.000 0.000
Ba 0.000 0.500 0.500
Ba 0.500 0.000 0.500
Ba 0.500 0.500 0.000
Y 0.250 0.250 0.250
Y 0.250 0.750 0.750
Y 0.750 0.250 0.750
Y 0.750 0.750 0.250
Th 0.000 0.000 0.500
Th 0.000 0.500 0.000
Th 0.500 0.000 0.000
Th 0.500 0.500 0.500
```

## Properties
V, Å³/cell: 535.0
Symmetry: No. 216
VASP energy, eV per atom: -4.276

No. 18
Here is a geometry-optimized LuScGa4Ir2 structure from OQMD via LeMat-Bulk. Energies are from PBE. Values from VASP.

Cell and atoms, written as Quantum ESPRESSO input:
```
&SYSTEM
  ibrav = 0, nat = 16, ntyp = 4
/
ATOMIC_SPECIES
Lu 174.97 Lu.upf
Sc 44.96 Sc.upf
Ga 69.72 Ga.upf
Ir 192.22 Ir.upf
CELL_PARAMETERS angstrom
6.842 0.000 0.000
0.000 4.204 0.000
0.000 0.000 9.784
ATOMIC_POSITIONS crystal
Lu 0.000 0.000 0.000
Lu 0.000 0.500 0.500
Sc 0.500 0.000 0.841
Sc 0.500 0.500 0.341
Ga 0.202 0.000 0.286
Ga 0.202 0.500 0.786
Ga 0.304 0.000 0.557
Ga 0.304 0.500 0.057
Ga 0.696 0.000 0.557
Ga 0.696 0.500 0.057
Ga 0.798 0.000 0.286
Ga 0.798 0.500 0.786
Ir 0.000 0.000 0.712
Ir 0.000 0.500 0.212
Ir 0.500 0.000 0.128
Ir 0.500 0.500 0.628
```

## Properties
V, Å³/cell: 281.4
Symmetry: No. 38
VASP energy, eV per atom: -5.818

No. 19
Here is a geometry-optimized AgHg2 structure from OQMD via LeMat-Bulk. Energies are from PBE. Values from VASP.

Cell and atoms, written as Quantum ESPRESSO input:
```
&SYSTEM
  ibrav = 0, nat = 6, ntyp = 2
/
ATOMIC_SPECIES
Ag 107.87 Ag.upf
Hg 200.59 Hg.upf
CELL_PARAMETERS angstrom
0.000 4.113 4.113
4.113 0.000 4.113
4.113 4.113 0.000
ATOMIC_POSITIONS crystal
Ag 0.125 0.125 0.125
Ag 0.875 0.875 0.875
Hg 0.000 0.500 0.500
Hg 0.500 0.000 0.500
Hg 0.500 0.500 0.000
Hg 0.500 0.500 0.500
```

## Properties
V, Å³/cell: 139.1
Energy of formation, eV per atom: 0.303
Symmetry: No. 227

No. 20
Here is a geometry-optimized NaGaSbIr structure from OQMD via LeMat-Bulk. Energies are from PBE. Values from VASP.

Cell and atoms, written as Quantum ESPRESSO input:
```
&SYSTEM
  ibrav = 0, nat = 16, ntyp = 4
/
ATOMIC_SPECIES
Na 22.99 Na.upf
Ga 69.72 Ga.upf
Sb 121.76 Sb.upf
Ir 192.22 Ir.upf
CELL_PARAMETERS angstrom
6.737 0.000 0.000
0.000 6.737 0.000
0.000 0.000 6.737
ATOMIC_POSITIONS crystal
Na 0.000 0.000 0.000
Na 0.000 0.500 0.500
Na 0.500 0.000 0.500
Na 0.500 0.500 0.000
Ga 0.250 0.250 0.250
Ga 0.250 0.750 0.750
Ga 0.750 0.250 0.750
Ga 0.750 0.750 0.250
Sb 0.000 0.000 0.500
Sb 0.000 0.500 0.000
Sb 0.500 0.000 0.000
Sb 0.500 0.500 0.500
Ir 0.250 0.250 0.750
Ir 0.250 0.750 0.250
Ir 0.750 0.250 0.250
Ir 0.750 0.750 0.750
```

## Properties
V, Å³/cell: 305.8
Symmetry: No. 216
VASP energy, eV per atom: -4.114